{"formula": "YScSb2", "functional": "PBEsol", "state": "optimized geometry", "lattice_angstrom": [[3.236, 0.000, 0.000], [0.000, 3.858, 0.000], [0.000, 0.000, 7.722]], "species": ["Y", "Sc", "Sb", "Sb"], "fractional_positions": [[0.000, 0.000, 0.000], [0.000, 0.000, 0.500], [0.500, 0.500, 0.263], [0.500, 0.500, 0.737]], "formation_energy_uncorrected_ev_per_fu": -3.24, "sg": "Pmmm, No. 47", "polymorph_energy_mev_per_atom": 273}